Computed, not measured: an optimized crystal structure of MgZrHgCl2 at the PBE-GGA level of DFT.

The structure in POSCAR format:
```
MgZrHgCl2
1.0
5.330 0.000 0.000
0.000 5.743 0.000
0.000 0.000 5.330
Mg Cl Hg Zr
1 2 1 1
Direct
0.500 0.500 0.500
0.000 0.000 0.500
0.500 0.000 0.000
0.000 0.000 0.000
0.000 0.500 0.000
```

## Properties
Space-group type: P4/mmm (123)
VASP energy: -11.8 eV for the cell shown
Formation energy (no corrections): 0.4650 eV/atom

Computed, not measured: an optimized crystal structure of ReC5IO5 at the PBE-GGA level of DFT.

The structure in POSCAR format:
```
ReC5IO5
1.0
4.042 -5.662 0.000
4.042 5.662 0.000
0.000 0.000 11.981
O C Re I
10 10 2 2
Direct
0.582 0.418 0.250
0.151 0.405 0.065
0.418 0.582 0.750
0.849 0.595 0.565
0.849 0.595 0.935
0.595 0.849 0.065
0.151 0.405 0.435
0.405 0.151 0.565
0.405 0.151 0.935
0.595 0.849 0.435
0.689 0.958 0.368
0.042 0.311 0.132
0.042 0.311 0.368
0.311 0.042 0.632
0.685 0.315 0.250
0.311 0.042 0.868
0.958 0.689 0.868
0.315 0.685 0.750
0.958 0.689 0.632
0.689 0.958 0.132
0.144 0.856 0.750
0.856 0.144 0.250
0.108 0.892 0.250
0.892 0.108 0.750
```

## Properties
Space-group type: Cmcm (63)
VASP energy: -186.4 eV for the cell shown
Formation energy (no corrections): -0.6923 eV/atom

Computed, not measured: an optimized crystal structure of ZrTe2Mo at the PBE-GGA level of DFT.

The structure in POSCAR format:
```
ZrTe2Mo
1.0
4.998 0.000 0.000
2.499 4.328 0.000
2.499 1.443 4.081
Mo Te Zr
1 2 1
Direct
0.500 0.500 0.500
0.000 0.000 0.000
0.750 0.750 0.750
0.250 0.250 0.250
```

## Properties
Space-group type: F-43m (216)
VASP energy: -24.1 eV for the cell shown
Formation energy (no corrections): 0.3884 eV/atom

Copy entry 3 word for word.
Computed, not measured: an optimized crystal structure of ZrTe2Mo at the PBE-GGA level of DFT.

The structure in POSCAR format:
```
ZrTe2Mo
1.0
4.998 0.000 0.000
2.499 4.328 0.000
2.499 1.443 4.081
Mo Te Zr
1 2 1
Direct
0.500 0.500 0.500
0.000 0.000 0.000
0.750 0.750 0.750
0.250 0.250 0.250
```

## Properties
Space-group type: F-43m (216)
VASP energy: -24.1 eV for the cell shown
Formation energy (no corrections): 0.3884 eV/atom

Which of these has the highest VASP energy? MgZrHgCl2

The lowest formation energy (no corrections) belongs to which entry? ReC5IO5